Here is crystalline FeWSe2 at its relaxed geometry from Alexandria. Energies are from PBE.

Geometry as POSCAR:
```
FeWSe2
1.0
-3.485 -2.977 -0.022
-2.245 -2.581 3.051
-4.673 4.306 1.330
W Fe Se
1 1 2
direct
0.499 0.499 0.425
0.219 0.219 0.339
0.010 0.010 0.131
0.772 0.772 0.605
```

The calculation puts the relative energy among the computed polymorphs at 258 meV per atom. The value obtained for the uncorrected formation energy is 124 meV per atom. The space-group type is No. 8. As for the total energy: -6.97 eV per atom. The value obtained for the density of states at the Fermi level is 0.98 states/eV/cell. The value obtained for the total magnetic moment is 2.0 Bohr magnetons per cell.